(1)
{
  "formula": "Li7Ag2Ge2",
  "functional": "PBE",
  "state": "optimized geometry",
  "cell": [[3.5592, -5.4999, 0.0000], [3.5592, 5.4999, 0.0000], [-1.1482, 0.0000, 5.1566]],
  "species": ["Li", "Li", "Li", "Li", "Li", "Li", "Li", "Ag", "Ag", "Ge", "Ge"],
  "fractional_positions": [[0.0000, 0.0000, 0.0000], [0.0997, 0.5651, 0.7814], [0.3440, 0.3440, 0.3345], [0.4349, 0.9003, 0.2186], [0.5651, 0.0997, 0.7814], [0.6560, 0.6560, 0.6655], [0.9003, 0.4349, 0.2186], [0.1260, 0.8740, 0.5000], [0.8740, 0.1260, 0.5000], [0.3151, 0.3151, 0.8349], [0.6849, 0.6849, 0.1651]],
  "dos_at_fermi_per_ev_cell": 2.55,
  "density_g_cm3": 3.37,
  "final_energy_ev_per_fu": -29.599
}

(2)
{
  "formula": "Li8AgGe2",
  "functional": "PBE",
  "state": "optimized geometry",
  "cell": [[3.6927, -6.6928, 0.0000], [3.6927, 6.6928, 0.0000], [-2.7116, 0.0000, 3.6038]],
  "species": ["Li", "Li", "Li", "Li", "Li", "Li", "Li", "Li", "Ag", "Ge", "Ge"],
  "fractional_positions": [[0.0912, 0.3764, 0.7064], [0.2034, 0.7966, 0.0000], [0.3764, 0.0912, 0.7064], [0.4066, 0.4066, 0.1877], [0.5934, 0.5934, 0.8123], [0.6236, 0.9088, 0.2936], [0.7966, 0.2034, 0.0000], [0.9088, 0.6236, 0.2936], [0.0000, 0.0000, 0.0000], [0.3208, 0.6792, 0.5000], [0.6792, 0.3208, 0.5000]],
  "dos_at_fermi_per_ev_cell": 2.52,
  "density_g_cm3": 2.88,
  "final_energy_ev_per_fu": -29.463
}

(3)
{
  "formula": "Li6AgGe2",
  "functional": "PBE",
  "state": "optimized geometry",
  "cell": [[3.8287, 2.2105, 2.6898], [-3.8287, 2.2105, 2.6898], [0.0000, -4.4210, 2.6898]],
  "species": ["Li", "Li", "Li", "Li", "Li", "Li", "Ag", "Ge", "Ge"],
  "fractional_positions": [[0.0000, 0.3282, 0.6718], [0.0000, 0.6718, 0.3282], [0.3282, 0.0000, 0.6718], [0.3282, 0.6718, 0.0000], [0.6718, 0.0000, 0.3282], [0.6718, 0.3282, 0.0000], [0.5000, 0.5000, 0.5000], [0.1726, 0.1726, 0.1726], [0.8274, 0.8274, 0.8274]],
  "dos_at_fermi_per_ev_cell": 1.12,
  "density_g_cm3": 3.58,
  "final_energy_ev_per_fu": -26.264
}

(4)
{
  "formula": "Li3Ag4Ge4",
  "functional": "PBE",
  "state": "optimized geometry",
  "cell": [[2.9679, 0.0000, 0.0000], [0.0037, 4.5521, 0.0000], [1.4468, 2.2525, 14.2769]],
  "species": ["Li", "Li", "Li", "Ag", "Ag", "Ag", "Ag", "Ge", "Ge", "Ge", "Ge"],
  "fractional_positions": [[0.0000, 0.0000, 0.0000], [0.1394, 0.6396, 0.7211], [0.8606, 0.3604, 0.2789], [0.2701, 0.2706, 0.4590], [0.4124, 0.9109, 0.1785], [0.5876, 0.0891, 0.8215], [0.7299, 0.7294, 0.5410], [0.3209, 0.8191, 0.3613], [0.4563, 0.4550, 0.0897], [0.5437, 0.5450, 0.9103], [0.6791, 0.1809, 0.6387]],
  "dos_at_fermi_per_ev_cell": 3.49,
  "density_g_cm3": 6.40,
  "final_energy_ev_per_fu": -36.866
}

(5)
{
  "formula": "Li5Ag3Ge",
  "functional": "PBE",
  "state": "optimized geometry",
  "cell": [[4.2227, -3.9711, 0.0000], [4.2227, 3.9711, 0.0000], [-1.9507, 0.0000, 10.3794]],
  "species": ["Li", "Li", "Li", "Li", "Li", "Li", "Li", "Li", "Li", "Li", "Ag", "Ag", "Ag", "Ag", "Ag", "Ag", "Ge", "Ge"],
  "fractional_positions": [[0.0484, 0.0484, 0.3003], [0.0970, 0.5299, 0.3356], [0.1853, 0.8147, 0.0000], [0.2129, 0.2129, 0.8721], [0.4701, 0.9030, 0.6644], [0.5299, 0.0970, 0.3356], [0.7871, 0.7871, 0.1279], [0.8147, 0.1853, 0.0000], [0.9030, 0.4701, 0.6644], [0.9516, 0.9516, 0.6997], [0.1719, 0.1719, 0.5422], [0.2483, 0.2483, 0.1332], [0.5000, 0.5000, 0.0000], [0.5000, 0.5000, 0.5000], [0.7517, 0.7517, 0.8668], [0.8281, 0.8281, 0.4578], [0.4352, 0.4352, 0.7363], [0.5648, 0.5648, 0.2637]],
  "dos_at_fermi_per_ev_cell": 6.21,
  "density_g_cm3": 4.11,
  "final_energy_ev_per_fu": -22.881
}

(6)
{
  "formula": "LiAg2Ge",
  "functional": "PBE",
  "state": "optimized geometry",
  "cell": [[0.0000, 3.2410, 3.2410], [3.2410, 0.0000, 3.2410], [3.2410, 3.2410, 0.0000]],
  "species": ["Li", "Ag", "Ag", "Ge"],
  "fractional_positions": [[0.0000, 0.0000, 0.0000], [0.2500, 0.2500, 0.2500], [0.5000, 0.5000, 0.5000], [0.7500, 0.7500, 0.7500]],
  "dos_at_fermi_per_ev_cell": 2.42,
  "density_g_cm3": 7.20,
  "final_energy_ev_per_fu": -12.598
}

| no. | formation energy (eV per atom) |
| --- | --- |
| 1 | -0.115 |
| 2 | -0.188 |
| 3 | -0.299 |
| 4 | -0.114 |
| 5 | -0.016 |
| 6 | -0.091 |